This record from the Alexandria database describes an optimized crystal structure of ErTmRu. The functional is PBE.

abc: 4.7264 4.7264 4.7264
angles: 60.00 60.00 60.00
With the nearest neighbours (Å) after each atom.
Sites, in units of the cell vectors:
Ru 0.2500 0.2500 0.2500  4 Er 2.89, 4 Tm 2.89
Er 0.5000 0.5000 0.5000  4 Ru 2.89
Tm 0.0000 0.0000 0.0000  4 Ru 2.89

Properties
SG	No. 216
ΔH_f (0 K)	-0.336	eV/atom
total magnetization	0.000	μB per atom
energy relative to the lowest polymorph listed for this composition	65	meV per atom

This record from the Alexandria database describes an optimized crystal structure of Ho2ErTm3Se6. The functional is PBE.

abc: 4.0219 8.0946 9.0209
angles: 103.45 102.88 90.00
With the nearest neighbours (Å) after each atom.
Sites, in units of the cell vectors:
Ho 0.1671 0.3338 0.3342  6 Se 2.86-2.87
Tm 0.1672 0.8331 0.3345  6 Se 2.83-2.84
Se 0.6668 0.0806 0.3336  3 Tm 2.83-2.84, 1 Er 2.85, 2 Ho 2.87
Tm 0.8328 0.1669 0.6655  6 Se 2.83-2.84
Tm 0.5000 0.5000 0.0000  6 Se 2.83-2.85
Se 0.3332 0.9194 0.6664  3 Tm 2.83-2.84, 1 Er 2.85, 2 Ho 2.87
Se 0.0009 0.7491 0.0019  3 Tm 2.84-2.85, 2 Er 2.86, 1 Ho 2.87
Se 0.9991 0.2509 0.9981  3 Tm 2.84-2.85, 2 Er 2.86, 1 Ho 2.87
Se 0.3344 0.4146 0.6689  3 Tm 2.83-2.84, 3 Ho 2.86-2.87
Se 0.6656 0.5854 0.3311  3 Tm 2.83-2.84, 3 Ho 2.86-2.87
Ho 0.8329 0.6662 0.6658  6 Se 2.86-2.87
Er 0.5000 0.0000 0.0000  6 Se 2.85-2.86

Properties
SG	No. 12
ΔE_f (raw)	-20.22	eV per formula unit
total magnetization	0.000	μB per atom